Computed, not measured: Mg2MnSi after structural relaxation at the GGA-PBE level of DFT.

Cell: 2.984 2.984 7.710 Å, 90.00 90.00 90.00°
Atoms (fractional coordinates):
Mg 0.000 0.000 0.250
Mg 0.000 0.000 0.750
Mn 0.500 0.500 0.000
Si 0.500 0.500 0.500

**Final energy**: -17.0 eV for the cell shown
**ΔE_f (raw)**: 0.194 eV per atom
**V**: 69 Å³/cell